# 1
TbGd2Ni2C2N3 | PBE | optimized geometry

## Properties
The raw total energy is -7.6995 eV per atom. As for the space group: I4/mmm.

a = 10.117 Å, b = 10.117 Å, c = 10.117 Å
α = 160.13°, β = 160.13°, γ = 28.24°
Atoms (fractional coordinates):
1 Tb 0.000 0.000 0.000
2 Gd 0.374 0.374 0.000
3 Gd 0.626 0.626 0.000
4 Ni 0.250 0.750 0.500
5 Ni 0.750 0.250 0.500
6 C 0.191 0.191 0.000
7 C 0.809 0.809 0.000
8 N 0.119 0.119 0.000
9 N 0.500 0.500 0.000
10 N 0.881 0.881 0.000

# 2
AlAg2Mo | PBE | optimized geometry

## Properties
The raw total energy is -4.7115 eV per atom. As for the space group: F-43m.

a = 6.399 Å, b = 6.399 Å, c = 6.399 Å
α = 90.00°, β = 90.00°, γ = 90.00°
Atoms (fractional coordinates):
1 Al 0.000 0.000 0.000
2 Al 0.000 0.500 0.500
3 Al 0.500 0.000 0.500
4 Al 0.500 0.500 0.000
5 Ag 0.000 0.000 0.500
6 Ag 0.000 0.500 0.000
7 Ag 0.250 0.250 0.750
8 Ag 0.250 0.750 0.250
9 Ag 0.500 0.000 0.000
10 Ag 0.500 0.500 0.500
11 Ag 0.750 0.250 0.250
12 Ag 0.750 0.750 0.750
13 Mo 0.250 0.250 0.250
14 Mo 0.250 0.750 0.750
15 Mo 0.750 0.250 0.750
16 Mo 0.750 0.750 0.250

# 3
TlAgGeTe2S | PBE | optimized geometry

## Properties
The raw total energy is -3.4437 eV per atom. As for the space group: Cmcm.

a = 6.690 Å, b = 6.690 Å, c = 11.618 Å
α = 90.00°, β = 90.00°, γ = 142.71°
Atoms (fractional coordinates):
1 Tl 0.205 0.795 0.750
2 Tl 0.795 0.205 0.250
3 Ag 0.084 0.916 0.250
4 Ag 0.916 0.084 0.750
5 Ge 0.500 0.500 0.000
6 Ge 0.500 0.500 0.500
7 Te 0.155 0.845 0.024
8 Te 0.155 0.845 0.476
9 Te 0.845 0.155 0.524
10 Te 0.845 0.155 0.976
11 S 0.468 0.532 0.250
12 S 0.532 0.468 0.750